# Tc4AsRh

A relaxed Tc4AsRh crystal (PBE, Alexandria).

Output
density	9.96	Mg/m³
ΔH_f (0 K)	566	meV per atom
calculated total energy	-8.3451	eV per atom
Fermi-level density of states	7.11	states/eV/f.u.

a b c (Å): 7.2422 7.2422 7.2422
angles (deg): 90.00 90.00 90.00
Closest atoms and distances in Å follow each position.
Space group F-43m (No. 216)
Asymmetric unit:
Tc: 0.1238 0.1238 0.3762 [16 per cell]  6 Tc 2.54-2.59
As: 0.0000 0.0000 0.0000 [4 per cell]  12 Tc 3.01, 4 Rh 3.14
Rh: 0.2500 0.2500 0.7500 [4 per cell]  12 Tc 3.00, 4 As 3.14

***

# ZnTc2Cl

A relaxed ZnTc2Cl crystal (PBE, Alexandria).

Output
density	8.22	Mg/m³
ΔE to the lowest computed polymorph	0.743	eV/atom
formation energy without anion corrections	0.699	eV/atom
calculated total energy	-5.2638	eV per atom
Fermi-level density of states	5.31	states/eV/f.u.

a b c (Å): 2.7457 2.7457 7.9516
angles (deg): 90.00 90.00 90.00
Closest atoms and distances in Å follow each position.
Space group P4/mmm (No. 123)
Asymmetric unit:
Zn: 0.0000 0.0000 0.0000 [1 per cell]  4 Zn 2.75, 8 Tc 2.75
Tc: 0.5000 0.5000 0.2451 [2 per cell]  4 Tc 2.75, 4 Zn 2.75, 4 Cl 2.81
Cl: 0.0000 0.0000 0.5000 [1 per cell]  4 Cl 2.75, 8 Tc 2.81

***

# BeCdAs2Br

A relaxed BeCdAs2Br crystal (PBE, Alexandria).

Output
density	4.37	Mg/m³
ΔE to the lowest computed polymorph	0.000	eV/atom
formation energy without anion corrections	0.315	eV/atom
calculated total energy	-2.8080	eV per atom
Fermi-level density of states	2.47	states/eV/f.u.

a b c (Å): 4.2676 4.2676 7.3315
angles (deg): 90.00 90.00 90.00
Closest atoms and distances in Å follow each position.
Space group P4/mmm (No. 123)
Asymmetric unit:
Be: 0.0000 0.0000 0.0000 [1 per cell]  4 As 2.13
Cd: 0.5000 0.5000 0.5000 [1 per cell]  4 Br 3.02
As: 0.0000 0.5000 0.0000 [2 per cell]  2 Be 2.13
Br: 0.0000 0.0000 0.5000 [1 per cell]  4 Cd 3.02

***

# U2BeCo12P3

A relaxed U2BeCo12P3 crystal (PBE, Alexandria).

Output
density	9.55	Mg/m³
ΔH_f (0 K)	-127	meV per atom
calculated total energy	-7.2269	eV per atom
Fermi-level density of states	15.66	states/eV/f.u.

a b c (Å): 7.9769 7.9769 12.1657
angles (deg): 90.00 90.00 120.00
Closest atoms and distances in Å follow each position.
Space group R-3m (No. 166, hexagonal axes)
Asymmetric unit:
U: 0.0000 0.0000 0.1392 [6 per cell]  3 Co 2.26
Be: 0.0000 0.0000 0.5000 [3 per cell]  6 Co 2.36
Co: 0.0072 0.5036 0.8191 [18 per cell]  1 P 2.20, 1 U 2.26, 1 Be 2.36, 3 Co 2.38-2.44
Co: 0.0121 0.5060 0.3815 [18 per cell]  2 P 2.34, 1 Co 2.44
P: 0.0000 0.5000 0.0000 [9 per cell]  6 Co 2.20-2.34

***

# Sm6Ho3Er2In

A relaxed Sm6Ho3Er2In crystal (PBE, Alexandria).

Output
density	8.13	Mg/m³
ΔH_f (0 K)	-35	meV per atom
calculated total energy	-4.5275	eV per atom
Fermi-level density of states	13.62	states/eV/f.u.

a b c (Å): 6.1454 10.6589 11.6909
angles (deg): 90.00 100.17 90.00
Closest atoms and distances in Å follow each position.
Space group C2/m (No. 12)
Asymmetric unit:
Sm: 0.2457 0.0000 0.2515 [4 per cell]  6 Sm 3.49-3.58, 1 In 3.50, 2 Er 3.53, 3 Ho 3.54-3.56
Sm: 0.2461 0.1641 0.7471 [8 per cell]  1 In 3.49, 6 Sm 3.49-3.58, 2 Er 3.52, 3 Ho 3.55-3.57
Ho: 0.0000 0.1675 0.0000 [4 per cell]  6 Ho 3.54-3.57, 6 Sm 3.54-3.57
Ho: 0.0000 0.5000 0.0000 [2 per cell]  6 Ho 3.54-3.55, 6 Sm 3.55-3.56
Er: 0.0000 0.3336 0.5000 [4 per cell]  6 Sm 3.52-3.53, 3 Er 3.55, 3 In 3.55-3.56
In: 0.0000 0.0000 0.5000 [2 per cell]  6 Sm 3.49-3.50, 6 Er 3.55-3.56

***

# MnPdRh2C

A relaxed MnPdRh2C crystal (PBE, Alexandria).

Output
density	9.53	Mg/m³
ΔH_f (0 K)	83	meV per atom
calculated total energy	-7.5750	eV per atom
Fermi-level density of states	4.86	states/eV/f.u.

a b c (Å): 4.0376 4.0376 4.0528
angles (deg): 90.00 90.00 90.00
Closest atoms and distances in Å follow each position.
Space group P4/mmm (No. 123)
Asymmetric unit:
Mn: 0.0000 0.0000 0.0000 [1 per cell]  2 C 2.03
Pd: 0.5000 0.5000 0.0000 [1 per cell]  4 Mn 2.86, 8 Rh 2.86
Rh: 0.0000 0.5000 0.5000 [2 per cell]  2 C 2.02
C: 0.0000 0.0000 0.5000 [1 per cell]  4 Rh 2.02, 2 Mn 2.03

***

# CeNiP2Ru

A relaxed CeNiP2Ru crystal (PBE, Alexandria).

Output
density	7.82	Mg/m³
ΔH_f (0 K)	-940	meV per atom
calculated total energy	-7.3018	eV per atom
Fermi-level density of states	5.62	states/eV/f.u.

a b c (Å): 3.9194 3.9194 10.0060
angles (deg): 90.00 90.00 90.00
Closest atoms and distances in Å follow each position.
Space group I-4m2 (No. 119)
Asymmetric unit:
Ce: 0.0000 0.0000 0.0000 [2 per cell]  8 P 3.01, 4 Ru 3.18, 4 Ni 3.18
Ni: 0.0000 0.5000 0.7500 [2 per cell]  4 P 2.36
P: 0.0000 0.0000 0.3814 [4 per cell]  2 Ni 2.36, 2 Ru 2.36, 1 P 2.37
Ru: 0.0000 0.5000 0.2500 [2 per cell]  4 P 2.36

***

# UTc2Sn2

A relaxed UTc2Sn2 crystal (PBE, Alexandria).

Output
density	10.47	Mg/m³
ΔH_f (0 K)	-64	meV per atom
calculated total energy	-8.0693	eV per atom
Fermi-level density of states	3.22	states/eV/f.u.

a b c (Å): 11.3004 5.0826 8.2275
angles (deg): 90.00 115.62 90.00
Closest atoms and distances in Å follow each position.
Space group C2/m (No. 12)
Asymmetric unit:
U: 0.1810 0.0000 0.1106 [4 per cell]  2 Tc 2.29
Tc: 0.0836 0.0000 0.8024 [4 per cell]  1 U 2.29
Tc: 0.1373 0.5000 0.6172 [4 per cell]  1 U 2.29
Sn: 0.0220 0.5000 0.1992 [4 per cell]  4 Tc 2.81-3.11, 1 Sn 3.09
Sn: 0.1683 0.0000 0.5156 [4 per cell]  5 Tc 2.74-2.92